BeCr2Pt | PBE-GGA | optimized geometry

a b c (Å): 2.6108 2.6108 25.0680
angles (deg): 90.00 90.00 120.00
With the nearest neighbours (Å) after each atom.
Space group R-3m (No. 166, hexagonal axes)
One atom of each set of equivalent atoms:
Be 0.0000 0.0000 0.0000 x3  6 Cr 2.46, 6 Be 2.61
Cr 0.0000 0.0000 0.2557 x6  3 Be 2.46, 6 Cr 2.61, 3 Pt 2.69
Pt 0.0000 0.0000 0.5000 x3  6 Pt 2.61, 6 Cr 2.69

Summary:
- D(E_F): 12.851 states/eV per cell
- Total magnetic moment: 0.00 μB per cell
- Raw total energy: -7.051 eV per atom
- Calculated formation energy: 202.2 meV/atom

***

LaCeHg | PBE-GGA | optimized geometry

a b c (Å): 3.6478 17.1640 5.5614
angles (deg): 90.00 90.00 90.00
With the nearest neighbours (Å) after each atom.
Space group Cmcm (No. 63)
One atom of each set of equivalent atoms:
La 0.0000 0.0727 0.2500 x4  6 Hg 3.36-3.47, 2 Ce 3.51, 4 La 3.65-3.74
Ce 0.0000 0.2522 0.7500 x4  2 Hg 3.20, 4 Ce 3.33, 2 La 3.51
Hg 0.0000 0.4008 0.2500 x4  2 Ce 3.20, 6 La 3.36-3.47

Summary:
- Polymorph energy (0 for the lowest one): 0.000 eV/f.u.
- D(E_F): 25.627 states/eV per cell
- Total magnetic moment: 3.38 μB per cell
- Raw total energy: -3.981 eV per atom
- Calculated formation energy: -259.7 meV/atom

***

NaFeAg2 | PBE-GGA | optimized geometry

a b c (Å): 6.5719 6.5719 6.5719
angles (deg): 90.00 90.00 90.00
With the nearest neighbours (Å) after each atom.
Space group Fm-3m (No. 225)
One atom of each set of equivalent atoms:
Na 0.0000 0.0000 0.0000 x4  8 Ag 2.85
Fe 0.0000 0.0000 0.5000 x4  8 Ag 2.85
Ag 0.2500 0.2500 0.2500 x8  4 Fe 2.85, 4 Na 2.85

Summary:
- Polymorph energy (0 for the lowest one): 0.000 eV/f.u.
- D(E_F): 7.605 states/eV per cell
- Total magnetic moment: 11.95 μB per cell
- Raw total energy: -3.441 eV per atom
- Calculated formation energy: 430.1 meV/atom

***

MnZn | PBE-GGA | optimized geometry

a b c (Å): 7.8438 7.8438 7.8438
angles (deg): 90.00 90.00 90.00
With the nearest neighbours (Å) after each atom.
Space group I-43m (No. 217)
One atom of each set of equivalent atoms:
Mn 0.1172 0.1172 0.1172 x8  4 Zn 2.52-2.62, 3 Mn 2.60
Zn 0.1975 0.1975 0.8025 x8  4 Mn 2.52-2.62

Summary:
- D(E_F): 20.193 states/eV per cell
- Total magnetic moment: 30.04 μB per cell
- Raw total energy: -4.202 eV per atom
- Calculated formation energy: 1020.0 meV/atom

***

Rb3Nd3SbO8 | PBE-GGA | optimized geometry

a b c (Å): 7.1674 7.1674 20.0321
angles (deg): 90.00 90.00 120.00
With the nearest neighbours (Å) after each atom.
Space group R-3m (No. 166, hexagonal axes)
One atom of each set of equivalent atoms:
Rb 0.0000 0.5000 0.0000 x9  6 O 2.97-2.99
Nd 0.0000 0.5000 0.5000 x9  6 O 2.38-2.44
Sb 0.0000 0.0000 0.5000 x3  6 O 2.18
O 0.0000 0.0000 0.2255 x6  3 Nd 2.38
O 0.0317 0.5158 0.2224 x18  1 Sb 2.18

Summary:
- D(E_F): 5.158 states/eV per cell
- Total magnetic moment: 0.00 μB per cell
- E_form (uncorrected): -2.32 eV/atom
- Raw total energy: -6.384 eV per atom

***

PmHfTl2O6 | PBE-GGA | optimized geometry

a b c (Å): 5.8239 5.8239 15.6032
angles (deg): 90.00 90.00 120.00
With the nearest neighbours (Å) after each atom.
Space group R3 (No. 146, hexagonal axes)
One atom of each set of equivalent atoms:
Pm 0.0000 0.0000 0.0000 x3  6 O 2.33-2.44
Hf 0.0000 0.0000 0.4915 x3  6 O 2.07-2.17
Tl 0.0000 0.0000 0.2670 x3  6 O 2.44-2.71
Tl 0.0000 0.0000 0.7836 x3  6 O 2.24-2.44
O 0.0501 0.6744 0.0699 x9  1 Hf 2.17, 1 Tl 2.24, 1 Pm 2.33
O 0.0714 0.3365 0.5582 x9  1 Hf 2.07

Summary:
- D(E_F): 9.332 states/eV per cell
- Total magnetic moment: 0.00 μB per cell
- E_form (uncorrected): -2.12 eV/atom
- Raw total energy: -7.037 eV per atom